! PBE-GGA YHoAlIr2, optimized geometry; values from VASP
&SYSTEM
  ibrav = 0, nat = 5, ntyp = 4
/
ATOMIC_SPECIES
Y 88.91 Y.upf
Ho 164.93 Ho.upf
Al 26.98 Al.upf
Ir 192.22 Ir.upf
CELL_PARAMETERS angstrom
-2.047 2.917 4.254
2.047 -2.917 4.254
2.047 2.917 -4.254
ATOMIC_POSITIONS crystal
Y 0.000 0.000 0.000
Ho 0.603 0.603 0.000
Al 0.302 0.802 0.500
Ir 0.042 0.301 0.740
Ir 0.561 0.301 0.260
! **Space group**: Imm2 (44)
! **Total energy**: -7.439 eV/atom
! **Total magnetic moment**: 0.00 μB per formula unit
! **Crystal system**: orthorhombic